# 1
Ba3Cu2As4 | the Alexandria database | PBE | optimized geometry; total magnetic moment = 0.000 μB/cell; crystal system = monoclinic; formation energy = -769 meV per atom
1.0
6.174 -2.183 0.000
6.174 2.183 0.000
-1.597 0.000 9.122
Ba Cu As
3 2 4
direct
0.000 0.000 0.000
0.358 0.358 0.344
0.642 0.642 0.656
0.371 0.371 0.729
0.629 0.629 0.271
0.086 0.086 0.358
0.278 0.278 0.940
0.722 0.722 0.060
0.914 0.914 0.642

# 2
BaCu6As4 | the Alexandria database | PBE | optimized geometry; total magnetic moment = 0.000 μB/cell; crystal system = tetragonal; formation energy = -214 meV per atom
1.0
-2.057 2.057 11.919
2.057 -2.057 11.919
2.057 2.057 -11.919
Ba Cu As
1 6 4
direct
0.000 0.000 0.000
0.131 0.631 0.500
0.250 0.750 0.500
0.369 0.869 0.500
0.631 0.131 0.500
0.750 0.250 0.500
0.869 0.369 0.500
0.191 0.191 0.000
0.424 0.424 0.000
0.576 0.576 0.000
0.809 0.809 0.000

# 3
BaCu12As4 | the Alexandria database | PBE | optimized geometry; total magnetic moment = 0.000 μB/cell; crystal system = cubic; formation energy = 34 meV per atom
1.0
-4.275 4.275 4.275
4.275 -4.275 4.275
4.275 4.275 -4.275
Ba Cu As
1 12 4
direct
0.000 0.000 0.000
0.000 0.349 0.651
0.000 0.651 0.349
0.302 0.651 0.651
0.349 0.000 0.651
0.349 0.349 0.698
0.349 0.651 0.000
0.349 0.698 0.349
0.651 0.000 0.349
0.651 0.302 0.651
0.651 0.349 0.000
0.651 0.651 0.302
0.698 0.349 0.349
0.000 0.000 0.500
0.000 0.500 0.000
0.500 0.000 0.000
0.500 0.500 0.500

Number 1: uncorrected energy -4.39 eV per atom. Number 2: uncorrected energy -4.31 eV per atom. Number 3: uncorrected energy -4.06 eV per atom.